Entry 1:
Entry from Alexandria: a crystal of Pt2Pb3 relaxed with PBEsol (meta-GGA SCAN).

a = 4.600 Å, b = 4.600 Å, c = 6.430 Å
α = 90.00°, β = 90.00°, γ = 120.00°
Fractional positions:
Pt 0.333 0.667 0.804
Pt 0.667 0.333 0.196
Pb 0.000 0.000 0.000
Pb 0.667 0.333 0.660
Pb 0.333 0.667 0.340

Output
The density of states at the Fermi level comes out at 2.2 states/eV/cell. The formation energy is -92 meV/atom. As for the symmetry: P-3m1 (164).

***

Entry 2:
Entry from Alexandria: a crystal of FeAsP relaxed with PBEsol (meta-GGA SCAN).

a = 4.072 Å, b = 4.072 Å, c = 4.072 Å
α = 60.00°, β = 60.00°, γ = 60.00°
Fractional positions:
As 0.250 0.250 0.250
Fe 0.000 0.000 0.000
P 0.500 0.500 0.500

Output
The density of states at the Fermi level comes out at 2.7 states/eV/cell. The formation energy is 653 meV/atom. As for the symmetry: F-43m (216).

***

Entry 3:
Entry from Alexandria: a crystal of SrCoTe2 relaxed with PBEsol (meta-GGA SCAN).

a = 4.315 Å, b = 4.315 Å, c = 6.262 Å
α = 110.15°, β = 110.15°, γ = 90.00°
Fractional positions:
Co 0.000 0.000 0.000
Sr 0.250 0.750 0.500
Te 0.599 0.099 0.198
Te 0.901 0.401 0.802

Output
The density of states at the Fermi level comes out at 2.4 states/eV/cell. As for the symmetry: I-4m2 (119). The value obtained for the energy relative to the elements, uncorrected is -721 meV per atom.